Below is a geometry-optimized Pr2Ho2Pb2C structure, with properties calculated at the PBE level.

The space group is I4/mmm (No. 139) and the conventional cell measures 4.858, 4.858 and 16.742 Å, with angles of 90.00, 90.00 and 90.00 degrees. The distinct sites, in fractional coordinates, are Pr at (0.000, 0.000, 0.160), Ho at (0.000, 0.500, 0.000), Pb at (0.000, 0.000, 0.363) and C at (0.000, 0.000, 0.000).

The value obtained for the density of states at the Fermi level is 0.56 states/eV/f.u. For the total magnetic moment, the calculation gives 0.000 μB per formula unit. The value obtained for the total energy is -5.643 eV/atom. Its formation enthalpy at 0 K is -4.15 eV per formula unit.